A plane-wave DFT calculation with GGA-PBE was carried out for crystalline Ce2Pm3Ge3 at its relaxed geometry.

a = 8.8888 Å, b = 8.8888 Å, c = 6.2788 Å
α = 90.00°, β = 90.00°, γ = 120.00°
Last column: nearest neighbours and their distance in Å.
Fractional coordinates of all 16 atoms:
1 Ce 0.3333 0.6667 0.0000  2 Ce 3.14, 6 Ge 3.18
2 Ce 0.3333 0.6667 0.5000  2 Ce 3.14, 6 Ge 3.18
3 Ce 0.6667 0.3333 0.0000  2 Ce 3.14, 6 Ge 3.18
4 Ce 0.6667 0.3333 0.5000  2 Ce 3.14, 6 Ge 3.18
5 Pm 0.0000 0.2559 0.2500  5 Ge 3.01-3.34
6 Pm 0.0000 0.7441 0.7500  5 Ge 3.01-3.34
7 Pm 0.2559 0.0000 0.2500  5 Ge 3.01-3.34
8 Pm 0.2559 0.2559 0.7500  5 Ge 3.01-3.34
9 Pm 0.7441 0.0000 0.7500  5 Ge 3.01-3.34
10 Pm 0.7441 0.7441 0.2500  5 Ge 3.01-3.34
11 Ge 0.0000 0.3847 0.7500  5 Pm 3.01-3.34, 4 Ce 3.18
12 Ge 0.0000 0.6153 0.2500  5 Pm 3.01-3.34, 4 Ce 3.18
13 Ge 0.3847 0.0000 0.7500  5 Pm 3.01-3.34, 4 Ce 3.18
14 Ge 0.3847 0.3847 0.2500  5 Pm 3.01-3.34, 4 Ce 3.18
15 Ge 0.6153 0.0000 0.2500  5 Pm 3.01-3.34, 4 Ce 3.18
16 Ge 0.6153 0.6153 0.7500  5 Pm 3.01-3.34, 4 Ce 3.18

Calculated values
- Total moment: 5.6 μB per cell
- Formation energy: -0.69 eV/atom